The following is a DFT calculation (PBE) of a relaxed structure of K2RbLi.

Values from the calculation:
energy relative to the lowest polymorph listed for this composition: 84.0 meV per atom
calculated volume: 1034 Å³/cell
ΔH_f (0 K): 0.7 eV/f.u.

Cell: 5.8984 5.8984 29.7125 Å, 90.00 90.00 90.00°
Space group I-42d (No. 122)
Asymmetric unit:
K (0.2293, 0.2500, 0.1250) (multiplicity 8)
Rb (0.0000, 0.0000, 0.5000) (multiplicity 4)
Li (0.0000, 0.0000, 0.0000) (multiplicity 4)

=====

The following is a DFT calculation (PBE) of a relaxed structure of SrAs2PbBr.

Values from the calculation:
energy relative to the lowest polymorph listed for this composition: 0.0 meV per atom
calculated volume: 171 Å³/cell

Cell: 5.3910 5.3910 5.8908 Å, 90.00 90.00 90.00°
Space group P4/mmm (No. 123)
Asymmetric unit:
Sr (0.0000, 0.0000, 0.0000) (multiplicity 1)
As (0.0000, 0.5000, 0.5000) (multiplicity 2)
Pb (0.5000, 0.5000, 0.5000) (multiplicity 1)
Br (0.5000, 0.5000, 0.0000) (multiplicity 1)

=====

energy relative to the lowest polymorph listed for this composition of number 1 (K2RbLi)? 84.0 meV per atom